1.
{"formula": "KTiIr3", "functional": "GGA-PBE", "state": "relaxed", "m_tot_mub_per_fu": 0.0, "spacegroup": "No. 221", "e_above_lowest_polymorph_kj_per_mol_fu": 0.0, "e_form_ev_per_atom": 0.97, "lattice_angstrom": [[4.7277, 0.0000, 0.0000], [0.0000, 4.7277, 0.0000], [0.0000, 0.0000, 4.7277]], "species": ["K", "Ti", "Ir", "Ir", "Ir"], "frac_coords": [[0.0000, 0.0000, 0.0000], [0.5000, 0.5000, 0.5000], [0.0000, 0.5000, 0.5000], [0.5000, 0.0000, 0.5000], [0.5000, 0.5000, 0.0000]]}

=====

2.
{"formula": "ScHgAu2", "functional": "GGA-PBE", "state": "relaxed", "m_tot_mub_per_fu": 0.0, "spacegroup": "No. 123", "e_form_ev_per_atom": -0.38, "lattice_angstrom": [[4.4078, 0.0000, 0.0000], [0.0000, 4.4078, 0.0000], [0.0000, 0.0000, 4.1159]], "species": ["Sc", "Hg", "Au", "Au"], "frac_coords": [[0.0000, 0.0000, 0.0000], [0.5000, 0.5000, 0.0000], [0.0000, 0.5000, 0.5000], [0.5000, 0.0000, 0.5000]]}

=====

3.
{"formula": "Pr2ZnCo3Ge4", "functional": "GGA-PBE", "state": "relaxed", "m_tot_mub_per_fu": 0.8, "spacegroup": "No. 115", "e_form_ev_per_atom": -0.52, "lattice_angstrom": [[4.1830, 0.0000, 0.0000], [0.0000, 4.1830, 0.0000], [0.0000, 0.0000, 9.9427]], "species": ["Pr", "Pr", "Zn", "Co", "Co", "Co", "Ge", "Ge", "Ge", "Ge"], "frac_coords": [[0.0000, 0.5000, 0.2416], [0.5000, 0.0000, 0.7584], [0.0000, 0.0000, 0.5000], [0.0000, 0.5000, 0.8822], [0.5000, 0.0000, 0.1178], [0.5000, 0.5000, 0.5000], [0.0000, 0.0000, 0.0000], [0.0000, 0.5000, 0.6443], [0.5000, 0.0000, 0.3557], [0.5000, 0.5000, 0.0000]]}

=====

4.
{"formula": "MgAlGaAu", "functional": "GGA-PBE", "state": "relaxed", "m_tot_mub_per_fu": 0.0, "spacegroup": "No. 216", "e_form_ev_per_atom": -0.23, "lattice_angstrom": [[0.0000, 3.2869, 3.2869], [3.2869, 0.0000, 3.2869], [3.2869, 3.2869, 0.0000]], "species": ["Mg", "Al", "Ga", "Au"], "frac_coords": [[0.0000, 0.0000, 0.0000], [0.5000, 0.5000, 0.5000], [0.2500, 0.2500, 0.2500], [0.7500, 0.7500, 0.7500]]}

=====

5.
{"formula": "Sc2TaTiBr", "functional": "GGA-PBE", "state": "relaxed", "m_tot_mub_per_fu": 0.0, "spacegroup": "No. 123", "lattice_angstrom": [[4.8458, 0.0000, 0.0000], [0.0000, 4.8458, 0.0000], [0.0000, 0.0000, 4.8278]], "species": ["Sc", "Sc", "Ta", "Ti", "Br"], "frac_coords": [[0.0000, 0.5000, 0.0000], [0.5000, 0.0000, 0.0000], [0.0000, 0.0000, 0.5000], [0.5000, 0.5000, 0.5000], [0.0000, 0.0000, 0.0000]]}

=====

6.
{"formula": "CdGaSeN2", "functional": "GGA-PBE", "state": "relaxed", "m_tot_mub_per_fu": 3.1, "spacegroup": "No. 123", "e_above_lowest_polymorph_kj_per_mol_fu": 0.0, "lattice_angstrom": [[3.9654, 0.0000, 0.0000], [0.0000, 3.9654, 0.0000], [0.0000, 0.0000, 5.5852]], "species": ["Cd", "Ga", "Se", "N", "N"], "frac_coords": [[0.0000, 0.0000, 0.0000], [0.5000, 0.5000, 0.5000], [0.5000, 0.5000, 0.0000], [0.0000, 0.5000, 0.5000], [0.5000, 0.0000, 0.5000]]}

=====

VASP energy? In order: -6.14; -3.68; -5.58; -3.14; -6.27; -3.82 eV per atom.